1.
A relaxed structure of La2HoZnS5. Source: the Alexandria database, functional GGA-PBE.

Structure (CIF):
```
data_La2HoZnS5
_chemical_formula_sum 'La4 Ho2 Zn2 S10'
_cell_length_a 8.747
_cell_length_b 8.747
_cell_length_c 12.078
_cell_angle_alpha 90.00
_cell_angle_beta 90.00
_cell_angle_gamma 154.05
_space_group_name_H-M_alt 'P 1'
_space_group_IT_number 1
loop_
_space_group_symop_operation_xyz
'x,y,z'
loop_
_atom_site_label
_atom_site_type_symbol
_atom_site_fract_x
_atom_site_fract_y
_atom_site_fract_z
La1 La 0.116 0.884 0.500
La2 La 0.130 0.870 0.136
La3 La 0.870 0.130 0.636
La4 La 0.884 0.116 0.000
Ho1 Ho 0.197 0.803 0.831
Ho2 Ho 0.803 0.197 0.331
Zn1 Zn 0.452 0.548 0.256
Zn2 Zn 0.548 0.452 0.756
S1 S 0.039 0.961 0.858
S2 S 0.293 0.707 0.487
S3 S 0.315 0.685 0.173
S4 S 0.355 0.645 0.820
S5 S 0.494 0.506 0.582
S6 S 0.506 0.494 0.082
S7 S 0.645 0.355 0.320
S8 S 0.685 0.315 0.673
S9 S 0.707 0.293 0.987
S10 S 0.961 0.039 0.358
```

Values from the calculation:
total magnetic moment = 0.00 μB/f.u.
E_tot = -0.4325 Ry per atom
uncorrected formation energy = -178.09 kJ/mol of atoms

2.
A relaxed structure of La5HoSb4. Source: the Alexandria database, functional GGA-PBE.

Structure (CIF):
```
data_La5HoSb4
_chemical_formula_sum 'La5 Ho1 Sb4'
_cell_length_a 9.991
_cell_length_b 9.991
_cell_length_c 8.879
_cell_angle_alpha 103.92
_cell_angle_beta 103.92
_cell_angle_gamma 25.73
_space_group_name_H-M_alt 'P 1'
_space_group_IT_number 1
loop_
_space_group_symop_operation_xyz
'x,y,z'
loop_
_atom_site_label
_atom_site_type_symbol
_atom_site_fract_x
_atom_site_fract_y
_atom_site_fract_z
La1 La 0.000 0.000 0.000
La2 La 0.330 0.330 0.158
La3 La 0.334 0.334 0.672
La4 La 0.666 0.666 0.328
La5 La 0.670 0.670 0.842
Ho1 Ho 0.000 0.000 0.500
Sb1 Sb 0.165 0.165 0.584
Sb2 Sb 0.497 0.497 0.256
Sb3 Sb 0.503 0.503 0.744
Sb4 Sb 0.835 0.835 0.416
```

Values from the calculation:
total magnetic moment = 0.00 μB/f.u.
E_tot = -0.3984 Ry per atom
uncorrected formation energy = -81.98 kJ/mol of atoms

3.
A relaxed structure of LaHo4Sb5. Source: the Alexandria database, functional GGA-PBE.

Structure (CIF):
```
data_LaHo4Sb5
_chemical_formula_sum 'La1 Ho4 Sb5'
_cell_length_a 11.692
_cell_length_b 11.692
_cell_length_c 11.692
_cell_angle_alpha 158.21
_cell_angle_beta 148.93
_cell_angle_gamma 38.27
_space_group_name_H-M_alt 'P 1'
_space_group_IT_number 1
loop_
_space_group_symop_operation_xyz
'x,y,z'
loop_
_atom_site_label
_atom_site_type_symbol
_atom_site_fract_x
_atom_site_fract_y
_atom_site_fract_z
La1 La 0.000 0.000 0.000
Ho1 Ho 0.203 0.203 0.000
Ho2 Ho 0.399 0.399 0.000
Ho3 Ho 0.601 0.601 0.000
Ho4 Ho 0.797 0.797 0.000
Sb1 Sb 0.106 0.606 0.500
Sb2 Sb 0.301 0.801 0.500
Sb3 Sb 0.500 0.000 0.500
Sb4 Sb 0.699 0.199 0.500
Sb5 Sb 0.894 0.394 0.500
```

Values from the calculation:
total magnetic moment = 0.00 μB/f.u.
E_tot = -0.4056 Ry per atom
uncorrected formation energy = -109.39 kJ/mol of atoms

4.
A relaxed structure of La3HoSb4. Source: the Alexandria database, functional GGA-PBE.

Structure (CIF):
```
data_La3HoSb4
_chemical_formula_sum 'La6 Ho2 Sb8'
_cell_length_a 9.123
_cell_length_b 12.902
_cell_length_c 4.569
_cell_angle_alpha 90.00
_cell_angle_beta 90.00
_cell_angle_gamma 90.00
_space_group_name_H-M_alt 'P 1'
_space_group_IT_number 1
loop_
_space_group_symop_operation_xyz
'x,y,z'
loop_
_atom_site_label
_atom_site_type_symbol
_atom_site_fract_x
_atom_site_fract_y
_atom_site_fract_z
La1 La 0.000 0.000 0.000
La2 La 0.250 0.250 0.500
La3 La 0.250 0.750 0.500
La4 La 0.500 0.500 0.000
La5 La 0.750 0.250 0.500
La6 La 0.750 0.750 0.500
Ho1 Ho 0.000 0.500 0.000
Ho2 Ho 0.500 0.000 0.000
Sb1 Sb 0.000 0.255 0.000
Sb2 Sb 0.000 0.745 0.000
Sb3 Sb 0.240 0.500 0.500
Sb4 Sb 0.260 0.000 0.500
Sb5 Sb 0.500 0.245 0.000
Sb6 Sb 0.500 0.755 0.000
Sb7 Sb 0.740 0.000 0.500
Sb8 Sb 0.760 0.500 0.500
```

Values from the calculation:
total magnetic moment = 0.00 μB/f.u.
E_tot = -0.4194 Ry per atom
uncorrected formation energy = -118.16 kJ/mol of atoms

5.
A relaxed structure of La3HoSb4. Source: the Alexandria database, functional GGA-PBE.

Structure (CIF):
```
data_La3HoSb4
_chemical_formula_sum 'La6 Ho2 Sb8'
_cell_length_a 7.899
_cell_length_b 9.138
_cell_length_c 7.907
_cell_angle_alpha 90.00
_cell_angle_beta 109.51
_cell_angle_gamma 90.00
_space_group_name_H-M_alt 'P 1'
_space_group_IT_number 1
loop_
_space_group_symop_operation_xyz
'x,y,z'
loop_
_atom_site_label
_atom_site_type_symbol
_atom_site_fract_x
_atom_site_fract_y
_atom_site_fract_z
La1 La 0.000 0.124 0.250
La2 La 0.000 0.373 0.750
La3 La 0.000 0.627 0.250
La4 La 0.000 0.876 0.750
La5 La 0.500 0.373 0.250
La6 La 0.500 0.627 0.750
Ho1 Ho 0.500 0.124 0.750
Ho2 Ho 0.500 0.876 0.250
Sb1 Sb 0.255 0.370 0.505
Sb2 Sb 0.255 0.630 0.005
Sb3 Sb 0.260 0.119 0.000
Sb4 Sb 0.260 0.881 0.500
Sb5 Sb 0.740 0.119 0.500
Sb6 Sb 0.740 0.881 0.000
Sb7 Sb 0.745 0.370 0.995
Sb8 Sb 0.745 0.630 0.495
```

Values from the calculation:
total magnetic moment = 0.00 μB/f.u.
E_tot = -0.4194 Ry per atom
uncorrected formation energy = -118.24 kJ/mol of atoms

6.
A relaxed structure of La2HoSb3. Source: the Alexandria database, functional GGA-PBE.

Structure (CIF):
```
data_La2HoSb3
_chemical_formula_sum 'La4 Ho2 Sb6'
_cell_length_a 4.548
_cell_length_b 6.439
_cell_length_c 13.597
_cell_angle_alpha 90.00
_cell_angle_beta 90.00
_cell_angle_gamma 90.00
_space_group_name_H-M_alt 'P 1'
_space_group_IT_number 1
loop_
_space_group_symop_operation_xyz
'x,y,z'
loop_
_atom_site_label
_atom_site_type_symbol
_atom_site_fract_x
_atom_site_fract_y
_atom_site_fract_z
La1 La 0.000 0.000 0.168
La2 La 0.000 0.000 0.832
La3 La 0.500 0.500 0.332
La4 La 0.500 0.500 0.668
Ho1 Ho 0.000 0.000 0.500
Ho2 Ho 0.500 0.500 0.000
Sb1 Sb 0.000 0.500 0.159
Sb2 Sb 0.000 0.500 0.500
Sb3 Sb 0.000 0.500 0.841
Sb4 Sb 0.500 0.000 0.000
Sb5 Sb 0.500 0.000 0.341
Sb6 Sb 0.500 0.000 0.659
```

Values from the calculation:
total magnetic moment = 0.00 μB/f.u.
E_tot = -0.4170 Ry per atom
offset from the most stable computed form = 0.0049 eV/atom
uncorrected formation energy = -116.46 kJ/mol of atoms

7.
A relaxed structure of LaHo3Sb4. Source: the Alexandria database, functional GGA-PBE.

Structure (CIF):
```
data_LaHo3Sb4
_chemical_formula_sum 'La2 Ho6 Sb8'
_cell_length_a 8.866
_cell_length_b 12.540
_cell_length_c 4.441
_cell_angle_alpha 90.00
_cell_angle_beta 90.00
_cell_angle_gamma 90.00
_space_group_name_H-M_alt 'P 1'
_space_group_IT_number 1
loop_
_space_group_symop_operation_xyz
'x,y,z'
loop_
_atom_site_label
_atom_site_type_symbol
_atom_site_fract_x
_atom_site_fract_y
_atom_site_fract_z
La1 La 0.000 0.000 0.000
La2 La 0.500 0.500 0.000
Ho1 Ho 0.000 0.500 0.000
Ho2 Ho 0.250 0.250 0.500
Ho3 Ho 0.250 0.750 0.500
Ho4 Ho 0.500 0.000 0.000
Ho5 Ho 0.750 0.250 0.500
Ho6 Ho 0.750 0.750 0.500
Sb1 Sb 0.000 0.255 0.000
Sb2 Sb 0.000 0.745 0.000
Sb3 Sb 0.240 0.500 0.500
Sb4 Sb 0.260 0.000 0.500
Sb5 Sb 0.500 0.245 0.000
Sb6 Sb 0.500 0.755 0.000
Sb7 Sb 0.740 0.000 0.500
Sb8 Sb 0.760 0.500 0.500
```

Values from the calculation:
total magnetic moment = 0.00 μB/f.u.
E_tot = -0.4069 Ry per atom
uncorrected formation energy = -110.28 kJ/mol of atoms

8.
A relaxed structure of LaHoSb2. Source: the Alexandria database, functional GGA-PBE.

Structure (CIF):
```
data_LaHoSb2
_chemical_formula_sum 'La3 Ho3 Sb6'
_cell_length_a 4.466
_cell_length_b 4.466
_cell_length_c 22.878
_cell_angle_alpha 90.00
_cell_angle_beta 90.00
_cell_angle_gamma 120.00
_space_group_name_H-M_alt 'P 1'
_space_group_IT_number 1
loop_
_space_group_symop_operation_xyz
'x,y,z'
loop_
_atom_site_label
_atom_site_type_symbol
_atom_site_fract_x
_atom_site_fract_y
_atom_site_fract_z
La1 La 0.000 0.000 0.000
La2 La 0.333 0.667 0.667
La3 La 0.667 0.333 0.333
Ho1 Ho 0.000 0.000 0.171
Ho2 Ho 0.333 0.667 0.838
Ho3 Ho 0.667 0.333 0.504
Sb1 Sb 0.000 0.000 0.422
Sb2 Sb 0.000 0.000 0.582
Sb3 Sb 0.333 0.667 0.089
Sb4 Sb 0.333 0.667 0.249
Sb5 Sb 0.667 0.333 0.756
Sb6 Sb 0.667 0.333 0.916
```

Values from the calculation:
total magnetic moment = 0.00 μB/f.u.
E_tot = -0.4041 Ry per atom
offset from the most stable computed form = 0.1293 eV/atom
uncorrected formation energy = -102.38 kJ/mol of atoms

Question: Which of these has the lowest uncorrected formation energy?
Answer: La2HoZnS5

Question: Which value of total magnetic moment does entry 5 give?
Answer: 0.00 μB/f.u.

Question: What is the formula in the seventh record?
Answer: LaHo3Sb4

Question: Number 2 is which compound?
Answer: La5HoSb4